(1)
# Ca3Ac4Rh2 (PBE, optimized geometry)
# Energy relative to the elements (eV per atom): -0.26
# Energy (eV per atom): -4.39
# ΔE to the lowest computed polymorph (meV/atom): 32
# M_tot (μB per formula unit): 0.00
data_Ca3Ac4Rh2
_space_group_name_H-M_alt 'C 1 2/c 1'
_space_group_IT_number 15
_cell_length_a 16.0084
_cell_length_b 11.0525
_cell_length_c 8.2674
_cell_angle_alpha 90.00
_cell_angle_beta 99.30
_cell_angle_gamma 90.00
loop_
_space_group_symop_operation_xyz
'x,y,z'
'-x,-y,-z'
'-x,y,-z+1/2'
'x,-y,z+1/2'
'x+1/2,y+1/2,z'
'-x+1/2,-y+1/2,-z'
'-x+1/2,y+1/2,-z+1/2'
'x+1/2,-y+1/2,z+1/2'
loop_
_atom_site_label
_atom_site_fract_x
_atom_site_fract_y
_atom_site_fract_z
_atom_site_occupancy
Ca1 0.0000 0.0544 0.2500 1
Ca2 0.0893 0.3670 0.1353 1
Ac1 0.1461 0.2789 0.6133 1
Ac2 0.2091 0.0564 0.0164 1
Rh1 0.1695 0.1607 0.3141 1

=====

(2)
# AcCeHfN3 (PBE, optimized geometry)
# Energy (eV per atom): -8.67
# M_tot (μB per formula unit): 0.22
# Uncorrected formation energy (meV/atom): -1177
data_AcCeHfN3
_space_group_name_H-M_alt 'P 1 21/m 1'
_space_group_IT_number 11
_cell_length_a 7.5140
_cell_length_b 3.5840
_cell_length_c 8.5608
_cell_angle_alpha 90.00
_cell_angle_beta 92.00
_cell_angle_gamma 90.00
loop_
_space_group_symop_operation_xyz
'x,y,z'
'-x,-y,-z'
'-x,y+1/2,-z'
'x,-y+1/2,z'
loop_
_atom_site_label
_atom_site_fract_x
_atom_site_fract_y
_atom_site_fract_z
_atom_site_occupancy
Ac1 0.1290 0.2500 0.3455 1
Ce1 0.3997 0.7500 0.6539 1
Hf1 0.1526 0.2500 0.9363 1
N1 0.1276 0.7500 0.0663 1
N2 0.1733 0.2500 0.6923 1
N3 0.3829 0.7500 0.3982 1